# 1
{"formula": "P2IrRu", "functional": "GGA-PBE", "state": "optimized geometry", "e_above_lowest_polymorph_mev_per_atom": 266, "formation_enthalpy_0k_ev_per_atom": -0.20, "energy_ev_per_cell": -29.74, "magnetic_moment_mub_per_atom": 0.0000, "dos_at_fermi_per_ev_cell": 2.35, "lattice": [[4.0366, 0.0000, 0.0000], [0.0000, 2.9158, 0.0000], [-1.9539, 0.0000, 4.5837]], "species": ["P", "P", "Ir", "Ru"], "fractional_positions": [[0.0000, 0.0000, 0.0000], [0.5000, 0.5000, 0.5000], [0.0000, 0.0000, 0.5000], [0.5000, 0.5000, 0.0000]]}


# 2
{"formula": "BeCr2Cu", "functional": "GGA-PBE", "state": "optimized geometry", "formation_enthalpy_0k_ev_per_atom": 0.44, "energy_ev_per_cell": -25.33, "magnetic_moment_mub_per_atom": 0.7677, "dos_at_fermi_per_ev_cell": 4.53, "lattice": [[4.0146, 0.0000, 0.0000], [0.0000, 4.0146, 0.0000], [0.0000, 0.0000, 2.8282]], "species": ["Be", "Cr", "Cr", "Cu"], "fractional_positions": [[0.0000, 0.0000, 0.0000], [0.0000, 0.5000, 0.5000], [0.5000, 0.0000, 0.5000], [0.5000, 0.5000, 0.0000]]}


# 3
{"formula": "La3Ge2I", "functional": "GGA-PBE", "state": "optimized geometry", "energy_ev_per_cell": -59.47, "magnetic_moment_mub_per_atom": 0.1860, "dos_at_fermi_per_ev_cell": 9.19, "formation_energy_uncorrected_ev_per_atom": -0.6950, "lattice": [[2.3890, -7.6754, 0.0000], [2.3890, 7.6754, 0.0000], [0.0000, 0.0000, 10.1180]], "species": ["La", "La", "La", "La", "La", "La", "Ge", "Ge", "Ge", "Ge", "I", "I"], "fractional_positions": [[0.1189, 0.8811, 0.7500], [0.3748, 0.6252, 0.5406], [0.3748, 0.6252, 0.9594], [0.6252, 0.3748, 0.0406], [0.6252, 0.3748, 0.4594], [0.8811, 0.1189, 0.2500], [0.0000, 0.0000, 0.0000], [0.0000, 0.0000, 0.5000], [0.4907, 0.5093, 0.2500], [0.5093, 0.4907, 0.7500], [0.2218, 0.7782, 0.2500], [0.7782, 0.2218, 0.7500]]}


# 4
{"formula": "BaYClO2", "functional": "GGA-PBE", "state": "optimized geometry", "energy_ev_per_cell": -34.87, "magnetic_moment_mub_per_atom": 0.0000, "dos_at_fermi_per_ev_cell": 0.00, "formation_energy_uncorrected_ev_per_atom": -2.9445, "lattice": [[4.2684, 0.0000, 0.0000], [0.0000, 4.2684, 0.0000], [0.0000, 0.0000, 6.5822]], "species": ["Ba", "Y", "Cl", "O", "O"], "fractional_positions": [[0.0000, 0.0000, 0.0000], [0.5000, 0.5000, 0.3302], [0.5000, 0.5000, 0.7458], [0.0000, 0.5000, 0.2272], [0.5000, 0.0000, 0.2272]]}


# 5
{"formula": "ThZn2Ni2", "functional": "GGA-PBE", "state": "optimized geometry", "e_above_lowest_polymorph_mev_per_atom": 22, "formation_enthalpy_0k_ev_per_atom": -0.36, "energy_ev_per_cell": -46.67, "magnetic_moment_mub_per_atom": 0.0000, "dos_at_fermi_per_ev_cell": 6.88, "lattice": [[9.4686, 0.0000, 0.0000], [0.0000, 4.0402, 0.0000], [-1.5100, 0.0000, 4.5144]], "species": ["Th", "Th", "Zn", "Zn", "Zn", "Zn", "Ni", "Ni", "Ni", "Ni"], "fractional_positions": [[0.0000, 0.0000, 0.0000], [0.5000, 0.5000, 0.0000], [0.1470, 0.5000, 0.5810], [0.3530, 0.0000, 0.4190], [0.6470, 0.0000, 0.5810], [0.8530, 0.5000, 0.4190], [0.2261, 0.5000, 0.1368], [0.2739, 0.0000, 0.8632], [0.7261, 0.0000, 0.1368], [0.7739, 0.5000, 0.8632]]}


# 6
{"formula": "NbHg12F7", "functional": "GGA-PBE", "state": "optimized geometry", "energy_ev_per_cell": -48.23, "magnetic_moment_mub_per_atom": 0.0000, "dos_at_fermi_per_ev_cell": 1.12, "formation_energy_uncorrected_ev_per_atom": -1.0720, "lattice": [[9.5826, 5.5325, 1.4382], [-9.5826, 5.5325, 1.4382], [0.0000, -11.0650, 1.4382]], "species": ["Nb", "Hg", "Hg", "Hg", "Hg", "Hg", "Hg", "Hg", "Hg", "Hg", "Hg", "Hg", "Hg", "F", "F", "F", "F", "F", "F", "F"], "fractional_positions": [[0.0000, 0.0000, 0.0000], [0.0362, 0.8370, 0.3464], [0.1630, 0.6536, 0.9638], [0.1892, 0.5515, 0.5282], [0.3464, 0.0362, 0.8370], [0.4485, 0.4718, 0.8108], [0.4718, 0.8108, 0.4485], [0.5282, 0.1892, 0.5515], [0.5515, 0.5282, 0.1892], [0.6536, 0.9638, 0.1630], [0.8108, 0.4485, 0.4718], [0.8370, 0.3464, 0.0362], [0.9638, 0.1630, 0.6536], [0.0828, 0.2779, 0.1483], [0.1483, 0.0828, 0.2779], [0.2779, 0.1483, 0.0828], [0.5000, 0.5000, 0.5000], [0.7221, 0.8517, 0.9172], [0.8517, 0.9172, 0.7221], [0.9172, 0.7221, 0.8517]]}


# 7
{"formula": "ErLuPa", "functional": "GGA-PBE", "state": "optimized geometry", "e_above_lowest_polymorph_mev_per_atom": 39, "formation_enthalpy_0k_ev_per_atom": 0.13, "energy_ev_per_cell": -36.35, "magnetic_moment_mub_per_atom": 0.0186, "dos_at_fermi_per_ev_cell": 10.74, "lattice": [[3.3753, 0.0000, 0.0000], [0.0000, 3.3753, 0.0000], [0.0000, 0.0000, 14.8069]], "species": ["Er", "Er", "Lu", "Lu", "Pa", "Pa"], "fractional_positions": [[0.0000, 0.0000, 0.0000], [0.5000, 0.5000, 0.5000], [0.0000, 0.0000, 0.6824], [0.5000, 0.5000, 0.1824], [0.0000, 0.0000, 0.3402], [0.5000, 0.5000, 0.8402]]}


# 8
{"formula": "CoW2Se", "functional": "GGA-PBE", "state": "optimized geometry", "energy_ev_per_cell": -105.04, "magnetic_moment_mub_per_atom": 0.1393, "dos_at_fermi_per_ev_cell": 12.76, "formation_energy_uncorrected_ev_per_atom": 0.3712, "lattice": [[2.9186, 0.0000, 0.0000], [-1.4593, 2.5276, 0.0000], [0.0000, 0.0000, 25.0272]], "species": ["Co", "Co", "Co", "W", "W", "W", "W", "W", "W", "Se", "Se", "Se"], "fractional_positions": [[0.0000, 0.0000, 0.0000], [0.3333, 0.6667, 0.6667], [0.6667, 0.3333, 0.3333], [0.0000, 0.0000, 0.5050], [0.0000, 0.0000, 0.7428], [0.3333, 0.6667, 0.1717], [0.3333, 0.6667, 0.4095], [0.6667, 0.3333, 0.0761], [0.6667, 0.3333, 0.8384], [0.0000, 0.0000, 0.2489], [0.3333, 0.6667, 0.9156], [0.6667, 0.3333, 0.5823]]}